Computed, not measured: MgIr2Rh at its PBEsol-relaxed geometry at the meta-GGA SCAN level of DFT.

Values from the calculation:
- Crystal system: tetragonal
- Electronic total energy: -45.449 eV per atom

Unit cell a=2.7417 b=2.7417 c=7.7225 alpha=90.00 beta=90.00 gamma=90.00
Element x y z (fractional)
Mg 0.0000 0.0000 0.5014
Ir 0.0000 0.0000 0.9993
Ir 0.5000 0.5000 0.2364
Rh 0.5000 0.5000 0.7629

---

Computed, not measured: Mn2IrRu at its PBEsol-relaxed geometry at the meta-GGA SCAN level of DFT.

Values from the calculation:
- Crystal system: orthorhombic
- Electronic total energy: -35.721 eV per atom

Unit cell a=2.6056 b=3.6004 c=5.2164 alpha=90.00 beta=90.00 gamma=90.00
Element x y z (fractional)
Ru 0.5000 0.5000 0.0000
Ir 0.5000 0.5000 0.5000
Mn 0.0000 0.0000 0.7538
Mn 0.0000 0.0000 0.2462

---

Computed, not measured: RbTcS3 at its PBEsol-relaxed geometry at the meta-GGA SCAN level of DFT.

Values from the calculation:
- Crystal system: cubic
- Uncorrected formation energy: -0.423 eV per atom
- Electronic total energy: -17.360 eV per atom
- E above lowest polymorph: 0 meV/atom

Unit cell a=4.6926 b=4.6926 c=4.6926 alpha=90.00 beta=90.00 gamma=90.00
Element x y z (fractional)
S 0.0000 0.5000 0.0000
S 0.0000 0.0000 0.5000
S 0.5000 0.0000 0.0000
Tc 0.0000 0.0000 0.0000
Rb 0.5000 0.5000 0.5000

---

Computed, not measured: TlRh2Au at its PBEsol-relaxed geometry at the meta-GGA SCAN level of DFT.

Values from the calculation:
- Crystal system: orthorhombic
- Electronic total energy: -52.027 eV per atom

Unit cell a=2.9213 b=4.6864 c=5.5176 alpha=115.13 beta=105.35 gamma=90.00
Element x y z (fractional)
Au 0.2565 0.7565 0.5131
Rh 0.0109 0.0109 0.0217
Rh 0.7412 0.2412 0.4823
Tl 0.4914 0.4914 0.9829

---

Computed, not measured: ZrTlAu2 at its PBEsol-relaxed geometry at the meta-GGA SCAN level of DFT.

Values from the calculation:
- Crystal system: trigonal
- Electronic total energy: -60.684 eV per atom

Unit cell a=3.5240 b=3.5240 c=8.4095 alpha=77.91 beta=77.91 gamma=60.00
Element x y z (fractional)
Au 0.2435 0.2435 0.2694
Au 0.7565 0.7565 0.7306
Tl 0.0000 0.0000 0.0000
Zr 0.5000 0.5000 0.5000

---

Computed, not measured: Mn2CoMo at its PBEsol-relaxed geometry at the meta-GGA SCAN level of DFT.

Values from the calculation:
- Crystal system: tetragonal
- Electronic total energy: -22.249 eV per atom

Unit cell a=2.9498 b=2.9498 c=5.5971 alpha=90.00 beta=90.00 gamma=90.00
Element x y z (fractional)
Co 0.5000 0.5000 0.5000
Mn 0.0000 0.0000 0.7422
Mn 0.0000 0.0000 0.2578
Mo 0.5000 0.5000 0.0000

---

Computed, not measured: LuAl7Fe5 at its PBEsol-relaxed geometry at the meta-GGA SCAN level of DFT.

Values from the calculation:
- Crystal system: orthorhombic
- Electronic total energy: -15.850 eV per atom

Unit cell a=4.9430 b=6.4948 c=6.4948 alpha=81.70 beta=67.63 gamma=67.63
Element x y z (fractional)
Lu 0.0063 0.9937 0.9937
Al 0.6617 0.3383 0.3383
Al 0.3388 0.6612 0.6612
Al 0.9908 0.3502 0.6682
Al 0.9908 0.6682 0.3502
Al 0.2744 0.2256 0.2256
Al 0.5050 0.7881 0.2019
Al 0.5050 0.2019 0.7881
Fe 0.4953 0.0015 0.5018
Fe 0.0015 0.0015 0.5018
Fe 0.4953 0.5018 0.0015
Fe 0.0015 0.5018 0.0015
Fe 0.7336 0.7664 0.7664

---

Computed, not measured: Ba2Cu7As6O24 at its PBEsol-relaxed geometry at the meta-GGA SCAN level of DFT.

Values from the calculation:
- Crystal system: triclinic
- Uncorrected formation energy: -1.424 eV per atom
- Electronic total energy: -13.122 eV per atom

Unit cell a=5.2294 b=8.3861 c=11.4441 alpha=89.37 beta=89.21 gamma=85.81
Element x y z (fractional)
Ba 0.9965 0.5558 0.8231
Ba 0.0035 0.4442 0.1769
Cu 0.4567 0.0811 0.1835
Cu 0.5000 0.0000 0.5000
Cu 0.4762 0.7345 0.3326
Cu 0.5238 0.2655 0.6674
Cu 0.5433 0.9189 0.8165
Cu 0.0000 0.0000 0.0000
Cu 0.0000 0.5000 0.5000
As 0.5254 0.3374 0.3920
As 0.9762 0.9217 0.2751
As 0.5385 0.2637 0.9445
As 0.4746 0.6626 0.6080
As 0.0238 0.0783 0.7249
As 0.4615 0.7363 0.0555
O 0.6959 0.5066 0.3997
O 0.8769 0.2694 0.7232
O 0.8170 0.9861 0.1458
O 0.2338 0.6171 0.0153
O 0.3146 0.2408 0.0511
O 0.3914 0.3298 0.8169
O 0.6105 0.2542 0.2606
O 0.6967 0.0745 0.9134
O 0.3033 0.9255 0.0866
O 0.6297 0.2102 0.5056
O 0.7210 0.9063 0.3722
O 0.1910 0.0572 0.3099
O 0.2031 0.3875 0.3873
O 0.3895 0.7458 0.7394
O 0.3703 0.7898 0.4944
O 0.2790 0.0937 0.6278
O 0.1830 0.0139 0.8542
O 0.6086 0.6702 0.1831
O 0.7662 0.3829 0.9847
O 0.3041 0.4934 0.6003
O 0.8090 0.9428 0.6901
O 0.7969 0.6125 0.6127
O 0.6854 0.7592 0.9489
O 0.1231 0.7306 0.2768

---

Computed, not measured: ZnCoAg2 at its PBEsol-relaxed geometry at the meta-GGA SCAN level of DFT.

Values from the calculation:
- Crystal system: trigonal
- Electronic total energy: -23.184 eV per atom

Unit cell a=2.7353 b=2.7353 c=9.0215 alpha=81.28 beta=81.28 gamma=60.00
Element x y z (fractional)
Ag 0.2484 0.2484 0.2547
Ag 0.7516 0.7516 0.7453
Co 0.5000 0.5000 0.5000
Zn 0.0000 0.0000 0.0000

---

Computed, not measured: YTaMn2C at its PBEsol-relaxed geometry at the meta-GGA SCAN level of DFT.

Values from the calculation:
- Crystal system: tetragonal
- Electronic total energy: -27.906 eV per atom

Unit cell a=3.8892 b=3.8892 c=4.6536 alpha=90.00 beta=90.00 gamma=90.00
Element x y z (fractional)
Y 0.0000 0.0000 0.5000
C 0.0000 0.0000 0.0000
Mn 0.0000 0.5000 0.0000
Mn 0.5000 0.0000 0.0000
Ta 0.5000 0.5000 0.5000

---

Computed, not measured: Y2MnCu2 at its PBEsol-relaxed geometry at the meta-GGA SCAN level of DFT.

Values from the calculation:
- Crystal system: tetragonal
- Electronic total energy: -20.819 eV per atom

Unit cell a=3.3623 b=3.3623 c=8.8167 alpha=100.99 beta=100.99 gamma=90.00
Element x y z (fractional)
Y 0.3939 0.3939 0.7879
Y 0.6061 0.6061 0.2121
Mn 0.0000 0.0000 0.0000
Cu 0.2500 0.7500 0.5000
Cu 0.7500 0.2500 0.5000

---

Computed, not measured: Nb2CrCdBr at its PBEsol-relaxed geometry at the meta-GGA SCAN level of DFT.

Values from the calculation:
- Crystal system: tetragonal
- Uncorrected formation energy: 1.556 eV per atom
- Electronic total energy: -25.348 eV per atom

Unit cell a=4.8721 b=5.1468 c=5.1468 alpha=90.00 beta=90.00 gamma=90.00
Element x y z (fractional)
Cr 0.5000 0.0000 0.0000
Nb 0.0000 0.0000 0.5000
Nb 0.0000 0.5000 0.0000
Br 0.5000 0.5000 0.5000
Cd 0.0000 0.0000 0.0000

---

Q: electronic total energy of number 4 (TlRh2Au)?
A: -52.027 eV per atom